Material: CePmGeBi
Method: DFT, GGA-PBE
State: optimized geometry

Structure (CIF):
```
data_CePmGeBi
_chemical_formula_sum 'Ce1 Pm1 Ge1 Bi1'
_cell_length_a 5.396
_cell_length_b 5.396
_cell_length_c 5.396
_cell_angle_alpha 60.00
_cell_angle_beta 60.00
_cell_angle_gamma 60.00
_symmetry_space_group_name_H-M 'P 1'
_symmetry_Int_Tables_number 1
loop_
_symmetry_equiv_pos_as_xyz
'x,y,z'
loop_
_atom_site_label
_atom_site_type_symbol
_atom_site_fract_x
_atom_site_fract_y
_atom_site_fract_z
_atom_site_occupancy
Ce1 Ce 0.000 0.000 0.000 1
Pm1 Pm 0.500 0.500 0.500 1
Ge1 Ge 0.250 0.250 0.250 1
Bi1 Bi 0.750 0.750 0.750 1
```

Crystal system ... cubic
Formation enthalpy at 0 K ... -0.5442 eV/atom
V ... 111.1 Å³ per cell
Uncorrected energy ... -5.340 eV per atom

***

Material: ZnP2Pt7Pb2
Method: DFT, GGA-PBE
State: optimized geometry

Structure (CIF):
```
data_ZnP2Pt7Pb2
_chemical_formula_sum 'Zn1 P2 Pt7 Pb2'
_cell_length_a 3.932
_cell_length_b 3.932
_cell_length_c 15.135
_cell_angle_alpha 97.45
_cell_angle_beta 97.45
_cell_angle_gamma 89.97
_symmetry_space_group_name_H-M 'P 1'
_symmetry_Int_Tables_number 1
loop_
_symmetry_equiv_pos_as_xyz
'x,y,z'
loop_
_atom_site_label
_atom_site_type_symbol
_atom_site_fract_x
_atom_site_fract_y
_atom_site_fract_z
_atom_site_occupancy
Zn1 Zn 0.000 0.000 0.000 1
P1 P 0.389 0.389 0.775 1
P2 P 0.611 0.611 0.225 1
Pt1 Pt 0.068 0.568 0.138 1
Pt2 Pt 0.310 0.310 0.621 1
Pt3 Pt 0.432 0.932 0.862 1
Pt4 Pt 0.500 0.500 0.000 1
Pt5 Pt 0.568 0.068 0.138 1
Pt6 Pt 0.690 0.690 0.379 1
Pt7 Pt 0.932 0.432 0.862 1
Pb1 Pb 0.210 0.210 0.420 1
Pb2 Pb 0.790 0.790 0.580 1
```

Crystal system ... monoclinic
Formation enthalpy at 0 K ... -0.3929 eV/atom
V ... 230.0 Å³ per cell
Uncorrected energy ... -5.543 eV per atom

***

Material: NaLi3In6
Method: DFT, GGA-PBE
State: optimized geometry

Structure (CIF):
```
data_NaLi3In6
_chemical_formula_sum 'Na1 Li3 In6'
_cell_length_a 10.952
_cell_length_b 10.952
_cell_length_c 10.952
_cell_angle_alpha 119.14
_cell_angle_beta 119.14
_cell_angle_gamma 119.14
_symmetry_space_group_name_H-M 'P 1'
_symmetry_Int_Tables_number 1
loop_
_symmetry_equiv_pos_as_xyz
'x,y,z'
loop_
_atom_site_label
_atom_site_type_symbol
_atom_site_fract_x
_atom_site_fract_y
_atom_site_fract_z
_atom_site_occupancy
Na1 Na 0.000 0.000 0.000 1
Li1 Li 0.000 0.000 0.500 1
Li2 Li 0.000 0.500 0.000 1
Li3 Li 0.500 0.000 0.000 1
In1 In 0.156 0.432 0.432 1
In2 In 0.432 0.156 0.432 1
In3 In 0.432 0.432 0.156 1
In4 In 0.568 0.568 0.844 1
In5 In 0.568 0.844 0.568 1
In6 In 0.844 0.568 0.568 1
```

Crystal system ... trigonal
Formation enthalpy at 0 K ... 0.0073 eV/atom
V ... 316.5 Å³ per cell
Uncorrected energy ... -2.342 eV per atom

***

Material: K3La2IrO6
Method: DFT, GGA-PBE
State: optimized geometry

Structure (CIF):
```
data_K3La2IrO6
_chemical_formula_sum 'K3 La2 Ir1 O6'
_cell_length_a 6.065
_cell_length_b 6.065
_cell_length_c 6.597
_cell_angle_alpha 98.68
_cell_angle_beta 98.68
_cell_angle_gamma 119.87
_symmetry_space_group_name_H-M 'P 1'
_symmetry_Int_Tables_number 1
loop_
_symmetry_equiv_pos_as_xyz
'x,y,z'
loop_
_atom_site_label
_atom_site_type_symbol
_atom_site_fract_x
_atom_site_fract_y
_atom_site_fract_z
_atom_site_occupancy
K1 K 0.000 0.000 0.000 1
K2 K 0.342 0.658 0.000 1
K3 K 0.658 0.342 0.000 1
La1 La 0.168 0.832 0.500 1
La2 La 0.832 0.168 0.500 1
Ir1 Ir 0.500 0.500 0.500 1
O1 O 0.132 0.436 0.307 1
O2 O 0.258 0.258 0.690 1
O3 O 0.436 0.132 0.307 1
O4 O 0.564 0.868 0.693 1
O5 O 0.742 0.742 0.310 1
O6 O 0.868 0.564 0.693 1
```

Crystal system ... monoclinic
V ... 200.7 Å³ per cell
Uncorrected energy ... -6.297 eV per atom